## FeTePtO6 (GGA+U)

Data for a geometry-optimized FeTePtO6 structure. Values from VASP.

```
&SYSTEM
  ibrav = 0, nat = 18, ntyp = 4
/
ATOMIC_SPECIES
O 16.00 O.upf
Te 127.60 Te.upf
Fe 55.84 Fe.upf
Pt 195.08 Pt.upf
CELL_PARAMETERS angstrom
-3.586 -2.592 2.528
3.988 1.940 2.510
-4.493 7.513 1.331
ATOMIC_POSITIONS angstrom
O -0.309 0.562 3.459
Te -2.184 0.797 2.855
Fe -4.431 4.553 3.521
O -1.507 2.559 2.245
O -0.019 3.025 4.637
Pt 0.000 0.000 0.000
O 0.934 4.037 2.143
O -4.071 3.836 1.733
Te -1.906 6.064 3.515
O -6.238 4.846 2.821
Pt -2.247 3.756 0.666
O 2.147 2.015 3.549
Fe 0.340 2.308 2.849
O -4.887 5.213 5.309
O -5.024 2.824 4.226
O 0.796 1.648 1.061
O -2.584 4.302 4.125
O -3.782 6.299 2.911
```

Calculated values
DFT total energy = -5.620 eV per atom
space-group type = P-31c, No. 163